Crystalline LaMnW at its relaxed geometry. Source: Alexandria, functional PBE.

Cell and atoms, written as CIF:
```
data_LaMnW
_chemical_formula_sum 'La2 Mn2 W2'
_symmetry_space_group_name_H-M 'I 4 m m'
_symmetry_Int_Tables_number 107
_symmetry_space_group_name_Hall 'I 4 -2'
_cell_length_a 3.1254
_cell_length_b 3.1254
_cell_length_c 11.9899
_cell_angle_alpha 90.00
_cell_angle_beta 90.00
_cell_angle_gamma 90.00
loop_
_atom_site_label
_atom_site_type_symbol
_atom_site_fract_x
_atom_site_fract_y
_atom_site_fract_z
La1 La 0.0000 0.0000 0.0000
Mn1 Mn 0.0000 0.0000 0.6985
W1 W 0.0000 0.0000 0.2900
```

Calculated values
E = -8.61 eV/atom
offset from the most stable computed form = 0.000 eV per atom
Fermi-level density of states = 6.59 states/eV/cell
total magnetic moment = 0.00 μB per cell

***

Crystalline LaMnW at its relaxed geometry. Source: Alexandria, functional PBE.

Cell and atoms, written as CIF:
```
data_LaMnW
_chemical_formula_sum 'La1 Mn1 W1'
_symmetry_space_group_name_H-M 'P 3 m 1'
_symmetry_Int_Tables_number 156
_symmetry_space_group_name_Hall 'P 3 -2"'
_cell_length_a 4.0272
_cell_length_b 4.0272
_cell_length_c 4.7771
_cell_angle_alpha 90.00
_cell_angle_beta 90.00
_cell_angle_gamma 120.00
loop_
_atom_site_label
_atom_site_type_symbol
_atom_site_fract_x
_atom_site_fract_y
_atom_site_fract_z
La1 La 0.0000 0.0000 0.0000
Mn1 Mn 0.6667 0.3333 0.4737
W1 W 0.3333 0.6667 0.5120
```

Calculated values
E = -8.48 eV/atom
offset from the most stable computed form = 0.131 eV per atom
Fermi-level density of states = 3.67 states/eV/cell
total magnetic moment = 0.00 μB per cell

***

Crystalline LaMnW at its relaxed geometry. Source: Alexandria, functional PBE.

Cell and atoms, written as CIF:
```
data_LaMnW
_chemical_formula_sum 'La4 Mn4 W4'
_symmetry_space_group_name_H-M 'F -4 3 m'
_symmetry_Int_Tables_number 216
_symmetry_space_group_name_Hall 'F -4 2 3'
_cell_length_a 6.6159
_cell_length_b 6.6159
_cell_length_c 6.6159
_cell_angle_alpha 90.00
_cell_angle_beta 90.00
_cell_angle_gamma 90.00
loop_
_atom_site_label
_atom_site_type_symbol
_atom_site_fract_x
_atom_site_fract_y
_atom_site_fract_z
La1 La 0.0000 0.0000 0.0000
Mn1 Mn 0.2500 0.2500 0.7500
W1 W 0.2500 0.2500 0.2500
```

Calculated values
E = -7.22 eV/atom
offset from the most stable computed form = 1.393 eV per atom
Fermi-level density of states = 19.26 states/eV/cell
total magnetic moment = 6.22 μB per cell